Compound: Tb2Sm3Y3
Source: Alexandria
Functional: PBE-GGA
Structure: optimized geometry

```
Tb2Sm3Y3
1.0
5.077 0.000 0.000
0.000 5.076 0.001
-2.538 -2.536 10.154
Y Sm Tb
3 3 2
Direct
0.374 0.374 0.748
0.500 0.000 0.000
0.626 0.626 0.252
0.000 0.500 0.000
0.875 0.875 0.749
0.125 0.125 0.251
0.750 0.250 0.501
0.250 0.750 0.499
```

Output
Relative energy among the computed polymorphs   0.24 kJ/mol of atoms
Energy of formation   19 meV/atom


Compound: BeNbF2
Source: Alexandria
Functional: PBE-GGA
Structure: optimized geometry

```
BeNbF2
1.0
-0.121 -1.559 3.696
-3.156 -2.196 1.149
0.393 -3.959 0.521
F Be Nb
2 1 1
Direct
0.250 0.250 0.250
0.750 0.750 0.750
0.000 0.000 0.000
0.500 0.500 0.500
```

Output
Relative energy among the computed polymorphs   113.85 kJ/mol of atoms
Formation energy (no corrections)   -47 kJ/mol of atoms


Compound: Tl5Zn
Source: Alexandria
Functional: PBE-GGA
Structure: optimized geometry

```
Tl5Zn
1.0
6.197 3.863 -3.865
-7.867 -2.515 -0.243
-1.356 4.060 1.884
Tl Zn
5 1
Direct
0.661 0.339 0.500
0.339 0.661 0.500
0.161 0.839 0.000
0.000 0.000 0.500
0.839 0.161 0.000
0.500 0.500 0.000
```

Output
Relative energy among the computed polymorphs   2.78 kJ/mol of atoms
Energy of formation   94 meV/atom


Compound: CaLa3Ir
Source: Alexandria
Functional: PBE-GGA
Structure: optimized geometry

```
CaLa3Ir
1.0
-2.608 6.795 0.469
-6.727 -2.629 0.684
0.595 0.164 6.476
La Ca Ir
6 2 2
Direct
0.888 0.250 0.578
0.112 0.750 0.422
0.747 0.500 0.074
0.747 0.000 0.074
0.253 0.000 0.926
0.253 0.500 0.926
0.604 0.750 0.598
0.396 0.250 0.402
0.554 0.250 0.817
0.446 0.750 0.183
```

Output
Relative energy among the computed polymorphs   4.55 kJ/mol of atoms
Energy of formation   -303 meV/atom


Compound: Na2TbSe2O6
Source: Alexandria
Functional: PBE-GGA
Structure: optimized geometry

```
Na2TbSe2O6
1.0
-0.711 -1.317 -5.692
3.194 -2.571 3.239
-6.514 -1.857 1.243
O Se Tb Na
6 2 1 2
Direct
0.285 0.091 0.775
0.228 0.457 0.506
0.715 0.909 0.225
0.194 0.909 0.225
0.772 0.543 0.494
0.806 0.091 0.775
0.091 0.183 0.241
0.909 0.817 0.759
0.500 0.000 0.500
0.299 0.598 0.884
0.701 0.402 0.116
```

Output
Formation energy (no corrections)   -148 kJ/mol of atoms


Compound: Na2B2PdO6
Source: Alexandria
Functional: PBE-GGA
Structure: optimized geometry

```
Na2B2PdO6
1.0
-3.398 -2.119 -3.008
3.675 -2.773 1.971
-3.436 -1.196 4.724
O B Na Pd
6 2 2 1
Direct
0.714 0.085 0.195
0.371 0.286 0.195
0.915 0.629 0.195
0.629 0.714 0.805
0.286 0.915 0.805
0.085 0.371 0.805
0.667 0.333 0.173
0.333 0.667 0.827
0.333 0.667 0.363
0.667 0.333 0.637
0.000 0.000 0.000
```

Output
Formation energy (no corrections)   -159 kJ/mol of atoms


Compound: Mo8RhN6
Source: Alexandria
Functional: PBE-GGA
Structure: optimized geometry

```
Mo8RhN6
1.0
2.889 0.000 0.000
0.000 7.213 -4.164
0.000 0.000 8.329
N Mo Rh
6 8 1
Direct
0.250 0.477 0.342
0.250 0.865 0.523
0.750 0.342 0.865
0.750 0.523 0.658
0.750 0.135 0.477
0.250 0.658 0.135
0.237 0.346 0.054
0.757 0.667 0.333
0.243 0.333 0.667
0.763 0.654 0.946
0.237 0.708 0.654
0.237 0.946 0.292
0.763 0.292 0.346
0.763 0.054 0.708
0.500 0.000 0.000
```

Output
Formation energy (no corrections)   -6 kJ/mol of atoms


Compound: LaPr6Sm4
Source: Alexandria
Functional: PBE-GGA
Structure: optimized geometry

```
LaPr6Sm4
1.0
-6.448 4.105 1.534
-3.666 -6.548 2.113
7.145 2.114 4.564
Pr La Sm
6 1 4
Direct
0.922 0.456 0.377
0.544 0.544 0.623
0.456 0.922 0.377
0.078 0.078 0.623
0.500 0.000 0.000
0.000 0.500 0.000
0.500 0.500 0.000
0.089 0.754 0.842
0.246 0.246 0.158
0.754 0.089 0.842
0.911 0.911 0.158
```

Output
Relative energy among the computed polymorphs   5.41 kJ/mol of atoms
Energy of formation   335 meV/atom


Compound: Zr2TaOs
Source: Alexandria
Functional: PBE-GGA
Structure: optimized geometry

```
Zr2TaOs
1.0
5.660 -0.005 0.009
4.714 3.133 0.009
2.019 0.609 4.295
Ta Zr Os
1 2 1
Direct
0.230 0.230 0.270
0.766 0.766 0.734
0.997 0.997 0.003
0.507 0.507 0.493
```

Output
Relative energy among the computed polymorphs   0.00 kJ/mol of atoms
Energy of formation   -224 meV/atom


Compound: Ge2Pd5Pt
Source: Alexandria
Functional: PBE-GGA
Structure: optimized geometry

```
Ge2Pd5Pt
1.0
-3.165 2.417 -1.795
2.195 -2.884 -2.438
-10.668 -11.235 3.685
Pd Ge Pt
10 4 2
Direct
0.667 0.333 0.057
0.000 0.000 0.650
0.000 0.000 0.850
0.000 0.000 0.350
0.333 0.667 0.557
0.667 0.333 0.443
0.667 0.333 0.250
0.333 0.667 0.750
0.333 0.667 0.943
0.000 0.000 0.150
0.333 0.667 0.097
0.333 0.667 0.403
0.667 0.333 0.597
0.667 0.333 0.903
0.333 0.667 0.250
0.667 0.333 0.750
```

Output
Relative energy among the computed polymorphs   5.30 kJ/mol of atoms
Energy of formation   -310 meV/atom


Compound: CaIn8Ag4
Source: Alexandria
Functional: PBE-GGA
Structure: optimized geometry

```
CaIn8Ag4
1.0
5.423 0.000 2.180
2.712 7.223 1.090
0.018 0.000 7.792
In Ag Ca
8 4 1
Direct
0.000 0.347 0.653
0.500 0.212 0.788
0.712 0.788 0.788
0.500 0.788 0.212
0.347 0.653 0.653
0.000 0.653 0.347
0.288 0.212 0.212
0.653 0.347 0.347
0.500 0.500 0.000
0.500 0.000 0.500
0.000 0.500 0.000
0.000 0.000 0.500
0.000 0.000 0.000
```

Output
Energy of formation   -93 meV/atom


Compound: FeTcNiW
Source: Alexandria
Functional: PBE-GGA
Structure: optimized geometry

```
FeTcNiW
1.0
4.242 0.000 0.000
2.121 3.674 0.000
2.121 1.225 3.464
Ni W Tc Fe
1 1 1 1
Direct
0.000 0.000 0.000
0.500 0.500 0.500
0.250 0.250 0.250
0.750 0.750 0.750
```

Output
Energy of formation   186 meV/atom


Compound: Sn3AuO
Source: Alexandria
Functional: PBE-GGA
Structure: optimized geometry

```
Sn3AuO
1.0
5.337 0.000 0.000
0.000 5.337 0.000
0.000 0.000 5.337
Sn O Au
3 1 1
Direct
0.000 0.500 0.000
0.500 0.000 0.000
0.000 0.000 0.500
0.500 0.500 0.500
0.000 0.000 0.000
```

Output
Relative energy among the computed polymorphs   83.79 kJ/mol of atoms
Formation energy (no corrections)   65 kJ/mol of atoms


Compound: Li3IrF6
Source: Alexandria
Functional: PBE-GGA
Structure: optimized geometry

```
Li3IrF6
1.0
-3.791 -4.088 2.442
1.008 -3.611 -4.794
4.727 -2.419 2.975
F Ir Li
12 2 6
Direct
0.084 0.310 0.911
0.916 0.690 0.089
0.392 0.185 0.535
0.608 0.815 0.465
0.310 0.911 0.084
0.089 0.916 0.690
0.911 0.084 0.310
0.185 0.535 0.392
0.465 0.608 0.815
0.690 0.089 0.916
0.535 0.392 0.185
0.815 0.465 0.608
0.500 0.500 0.500
0.000 0.000 0.000
0.448 0.937 0.747
0.747 0.448 0.937
0.063 0.253 0.552
0.552 0.063 0.253
0.937 0.747 0.448
0.253 0.552 0.063
```

Output
Relative energy among the computed polymorphs   0.00 kJ/mol of atoms
Formation energy (no corrections)   -222 kJ/mol of atoms


Compound: Zn2SbRh
Source: Alexandria
Functional: PBE-GGA
Structure: optimized geometry

```
Zn2SbRh
1.0
4.964 -0.008 -0.015
1.654 4.681 0.015
-3.299 -2.350 2.870
Sb Rh Zn
1 1 2
Direct
0.750 0.250 0.500
0.500 0.500 0.000
0.000 0.000 0.000
0.250 0.750 0.500
```

Output
Formation energy (no corrections)   -9 kJ/mol of atoms


Compound: MnSiH2S
Source: Alexandria
Functional: PBE-GGA
Structure: optimized geometry

```
MnSiH2S
1.0
3.426 0.000 0.000
0.000 5.211 0.000
0.000 0.000 3.426
Mn H Si S
1 2 1 1
Direct
0.000 0.000 0.000
0.000 0.000 0.500
0.500 0.000 0.000
0.000 0.500 0.000
0.500 0.500 0.500
```


Compound: TeMo2Br
Source: Alexandria
Functional: PBE-GGA
Structure: optimized geometry

```
TeMo2Br
1.0
9.878 -0.064 -0.038
9.345 3.201 -0.038
9.345 1.525 2.814
Mo Br Te
2 1 1
Direct
0.264 0.264 0.264
0.989 0.989 0.989
0.725 0.725 0.725
0.521 0.521 0.521
```

Output
Relative energy among the computed polymorphs   0.16 kJ/mol of atoms
Formation energy (no corrections)   17 kJ/mol of atoms


Compound: LaCrCl
Source: Alexandria
Functional: PBE-GGA
Structure: optimized geometry

```
LaCrCl
1.0
-2.947 -3.246 2.191
1.849 -3.219 3.200
-1.008 0.439 4.776
Cr Cl La
1 1 1
Direct
0.750 0.750 0.750
0.500 0.500 0.500
0.000 0.000 0.000
```

Output
Relative energy among the computed polymorphs   52.26 kJ/mol of atoms
Formation energy (no corrections)   28 kJ/mol of atoms


Compound: Ce2NdMgTl4
Source: Alexandria
Functional: PBE-GGA
Structure: optimized geometry

```
Ce2NdMgTl4
1.0
-3.669 1.117 -3.743
1.054 -0.980 -5.162
-4.358 -8.411 -2.075
Tl Ce Nd Mg
4 2 1 1
Direct
0.376 0.376 0.872
0.624 0.624 0.128
0.876 0.876 0.373
0.124 0.124 0.627
0.758 0.758 0.725
0.242 0.242 0.275
0.000 0.000 0.000
0.500 0.500 0.500
```

Output
Energy of formation   -255 meV/atom


Compound: CsSnHg2Cl
Source: Alexandria
Functional: PBE-GGA
Structure: optimized geometry

```
CsSnHg2Cl
1.0
-0.299 1.759 5.574
-4.335 -3.810 0.970
3.919 -4.077 1.497
Sn Hg Cs Cl
1 2 1 1
Direct
0.000 0.000 0.000
0.000 0.500 0.000
0.500 0.000 0.000
0.500 0.500 0.500
0.000 0.000 0.500
```

Output
Formation energy (no corrections)   -46 kJ/mol of atoms


Compound: MnAlZn
Source: Alexandria
Functional: PBE-GGA
Structure: optimized geometry

```
MnAlZn
1.0
-1.080 -0.470 -3.996
-2.927 -2.771 -1.055
-3.729 1.309 -1.318
Zn Al Mn
1 1 1
Direct
0.750 0.750 0.750
0.000 0.000 0.000
0.500 0.500 0.500
```

Output
Energy of formation   197 meV/atom


Compound: Ba3Ta
Source: Alexandria
Functional: PBE-GGA
Structure: optimized geometry

```
Ba3Ta
1.0
7.322 0.000 0.000
-3.351 6.510 0.000
-3.351 -5.493 3.494
Ba Ta
3 1
Direct
0.500 0.500 0.000
0.000 0.500 0.500
0.000 0.000 0.000
0.500 0.000 0.500
```

Output
Relative energy among the computed polymorphs   52.37 kJ/mol of atoms
Energy of formation   1066 meV/atom


Compound: Sm3Dy4In
Source: Alexandria
Functional: PBE-GGA
Structure: optimized geometry

```
Sm3Dy4In
1.0
6.215 0.006 0.000
-0.007 7.097 0.000
0.000 0.000 11.242
Dy Sm In
8 6 2
Direct
0.013 0.127 0.238
0.513 0.873 0.262
0.367 0.628 0.000
0.513 0.873 0.738
0.363 0.129 0.000
0.866 0.372 0.500
0.863 0.871 0.500
0.013 0.127 0.762
0.035 0.616 0.756
0.535 0.384 0.256
0.334 0.127 0.500
0.535 0.384 0.744
0.035 0.616 0.244
0.834 0.873 0.000
0.856 0.373 0.000
0.356 0.627 0.500
```

Output
Relative energy among the computed polymorphs   0.60 kJ/mol of atoms
Energy of formation   -104 meV/atom


Compound: Sc4AlGa2Pd
Source: Alexandria
Functional: PBE-GGA
Structure: optimized geometry

```
Sc4AlGa2Pd
1.0
4.748 0.000 0.000
2.374 4.112 0.000
2.374 1.371 7.762
Al Sc Ga Pd
1 4 2 1
Direct
0.000 0.000 0.000
0.622 0.622 0.133
0.378 0.378 0.867
0.127 0.127 0.619
0.873 0.873 0.381
0.251 0.251 0.248
0.749 0.749 0.752
0.500 0.500 0.500
```

Output
Energy of formation   -624 meV/atom


no.,calculated total energy (eV/cell)
1,-42.66
2,-19.48
3,-12.54
4,-54.32
5,-60.86
6,-69.10
7,-144.93
8,-48.80
9,-41.08
10,-87.44
11,-36.52
12,-36.82
13,-16.89
14,-97.71
15,-14.38
16,-24.29
17,-25.79
18,-15.54
19,-29.74
20,-9.69
21,-13.60
22,-13.36
23,-72.28
24,-45.31